A plane-wave DFT calculation with SCAN was carried out for OsRh at its PBEsol-relaxed geometry.

a = 2.6864 Å, b = 2.6864 Å, c = 7.6014 Å
α = 90.00°, β = 90.00°, γ = 90.00°
Last column: nearest neighbours and their distance in Å.
Element x y z (fractional)
Rh 0.5000 0.0000 0.6281  4 Os 2.67, 8 Rh 2.69-2.72
Rh 0.0000 0.5000 0.3719  4 Os 2.67, 8 Rh 2.69-2.72
Os 0.5000 0.0000 0.1244  4 Rh 2.67, 8 Os 2.68-2.69
Os 0.0000 0.5000 0.8756  4 Rh 2.67, 8 Os 2.68-2.69

Calculated values
- energy relative to the elements (eV per atom) = 0.059
- space-group type = P4/nmm (129)
- spin magnetization (μB/cell) = 0.0



A plane-wave DFT calculation with SCAN was carried out for OsRh5 at its PBEsol-relaxed geometry.

a = 2.6893 Å, b = 4.3213 Å, c = 7.1289 Å
α = 90.00°, β = 100.87°, γ = 90.00°
Last column: nearest neighbours and their distance in Å.
Element x y z (fractional)
Os 0.9994 0.0000 0.9988  10 Rh 2.66-2.67, 2 Os 2.69
Rh 0.2236 0.5000 0.4471  12 Rh 2.67-2.71
Rh 0.3356 0.0000 0.6713  10 Rh 2.65-2.76, 2 Os 2.66
Rh 0.5559 0.5000 0.1118  8 Rh 2.64-2.71, 4 Os 2.67
Rh 0.6638 0.0000 0.3276  10 Rh 2.64-2.76, 2 Os 2.67
Rh 0.8884 0.5000 0.7767  10 Rh 2.65-2.70, 2 Os 2.66

Calculated values
- energy relative to the elements (eV per atom) = 0.045
- space-group type = Amm2 (38)
- relative energy among the computed polymorphs (meV per atom) = 7
- spin magnetization (μB/cell) = 0.0



A plane-wave DFT calculation with SCAN was carried out for OsRh at its PBEsol-relaxed geometry.

a = 3.8146 Å, b = 3.8146 Å, c = 4.6283 Å
α = 114.34°, β = 114.34°, γ = 90.00°
Last column: nearest neighbours and their distance in Å.
Element x y z (fractional)
Os 0.2500 0.7500 0.5000  4 Os 2.68, 8 Rh 2.68-2.70
Os 0.0000 0.0000 0.0000  4 Os 2.68, 8 Rh 2.68-2.70
Rh 0.7500 0.2500 0.5000  8 Os 2.68-2.70, 4 Rh 2.68
Rh 0.5000 0.5000 0.0000  8 Os 2.68-2.70, 4 Rh 2.68

Calculated values
- energy relative to the elements (eV per atom) = 0.111
- space-group type = I4_1/amd (141)
- spin magnetization (μB/cell) = 0.0



A plane-wave DFT calculation with SCAN was carried out for Os2Rh at its PBEsol-relaxed geometry.

a = 3.8022 Å, b = 5.3740 Å, c = 8.1176 Å
α = 90.00°, β = 90.00°, γ = 90.00°
Last column: nearest neighbours and their distance in Å.
Element x y z (fractional)
Os 0.2500 0.1241 0.7414  7 Os 2.63-2.75, 5 Rh 2.64-2.81
Os 0.2500 0.1183 0.4179  7 Os 2.63-2.75, 5 Rh 2.65-2.73
Os 0.7500 0.3817 0.9179  7 Os 2.63-2.75, 5 Rh 2.65-2.73
Os 0.7500 0.3759 0.2414  7 Os 2.63-2.75, 5 Rh 2.64-2.81
Os 0.2500 0.6241 0.7586  7 Os 2.63-2.75, 5 Rh 2.64-2.81
Os 0.2500 0.6183 0.0821  7 Os 2.63-2.75, 5 Rh 2.65-2.73
Os 0.7500 0.8817 0.5821  7 Os 2.63-2.75, 5 Rh 2.65-2.73
Os 0.7500 0.8759 0.2586  7 Os 2.63-2.75, 5 Rh 2.64-2.81
Rh 0.2500 0.1245 0.0880  10 Os 2.64-2.81, 2 Rh 2.73
Rh 0.7500 0.3755 0.5880  10 Os 2.64-2.81, 2 Rh 2.73
Rh 0.2500 0.6245 0.4120  10 Os 2.64-2.81, 2 Rh 2.73
Rh 0.7500 0.8755 0.9120  10 Os 2.64-2.81, 2 Rh 2.73

Calculated values
- energy relative to the elements (eV per atom) = 0.088
- space-group type = Pnma (62)
- relative energy among the computed polymorphs (meV per atom) = 66
- spin magnetization (μB/cell) = 0.0



A plane-wave DFT calculation with SCAN was carried out for Os2Rh at its PBEsol-relaxed geometry.

a = 2.7134 Å, b = 5.0979 Å, c = 6.3824 Å
α = 103.43°, β = 90.00°, γ = 105.43°
Last column: nearest neighbours and their distance in Å.
Element x y z (fractional)
Os 0.9981 0.9961 0.0007  4 Rh 2.64-2.70, 8 Os 2.65-2.72
Os 0.3892 0.7785 0.2788  8 Os 2.65-2.71, 4 Rh 2.69-2.71
Os 0.6685 0.3370 0.3325  3 Rh 2.64-2.67, 9 Os 2.65-2.72
Os 0.3334 0.6668 0.6666  7 Os 2.66-2.71, 5 Rh 2.66-2.68
Rh 0.0544 0.1088 0.6076  8 Os 2.66-2.70, 4 Rh 2.71-2.75
Rh 0.7230 0.4461 0.9470  8 Os 2.64-2.71, 4 Rh 2.71-2.75

Calculated values
- energy relative to the elements (eV per atom) = 0.043
- space-group type = Cm (8)
- relative energy among the computed polymorphs (meV per atom) = 22
- spin magnetization (μB/cell) = 0.0



A plane-wave DFT calculation with SCAN was carried out for Os2Rh at its PBEsol-relaxed geometry.

a = 2.7123 Å, b = 4.3043 Å, c = 7.2016 Å
α = 90.00°, β = 100.85°, γ = 90.00°
Last column: nearest neighbours and their distance in Å.
Element x y z (fractional)
Os 0.7197 0.7500 0.4393  4 Rh 2.65-2.76, 8 Os 2.68-2.71
Os 0.9434 0.2500 0.8869  6 Rh 2.66-2.73, 6 Os 2.68-2.71
Os 0.0566 0.7500 0.1131  6 Rh 2.66-2.73, 6 Os 2.68-2.71
Os 0.2803 0.2500 0.5607  4 Rh 2.65-2.76, 8 Os 2.68-2.71
Rh 0.3894 0.7500 0.7788  10 Os 2.65-2.76, 2 Rh 2.71
Rh 0.6106 0.2500 0.2212  10 Os 2.65-2.76, 2 Rh 2.71

Calculated values
- energy relative to the elements (eV per atom) = 0.022
- space-group type = Cmcm (63)
- relative energy among the computed polymorphs (meV per atom) = 0
- spin magnetization (μB/cell) = 0.0



A plane-wave DFT calculation with SCAN was carried out for Os5Rh at its PBEsol-relaxed geometry.

a = 2.7209 Å, b = 5.1027 Å, c = 6.3924 Å
α = 103.28°, β = 90.00°, γ = 105.46°
Last column: nearest neighbours and their distance in Å.
Element x y z (fractional)
Os 0.9978 0.9956 0.0006  3 Rh 2.65-2.68, 9 Os 2.66-2.73
Os 0.3898 0.7796 0.2807  10 Os 2.65-2.72, 2 Rh 2.74
Os 0.6668 0.3336 0.3329  11 Os 2.66-2.73, 1 Rh 2.66
Os 0.0556 0.1112 0.6083  10 Os 2.66-2.72, 2 Rh 2.73
Os 0.3351 0.6701 0.6666  10 Os 2.65-2.73, 2 Rh 2.68
Rh 0.7215 0.4431 0.9443  10 Os 2.65-2.74, 2 Rh 2.72

Calculated values
- energy relative to the elements (eV per atom) = 0.026
- space-group type = Cm (8)
- relative energy among the computed polymorphs (meV per atom) = 14
- spin magnetization (μB/cell) = 0.0



A plane-wave DFT calculation with SCAN was carried out for Os5Rh at its PBEsol-relaxed geometry.

a = 4.3153 Å, b = 4.7171 Å, c = 4.7171 Å
α = 120.00°, β = 90.00°, γ = 90.00°
Last column: nearest neighbours and their distance in Å.
Element x y z (fractional)
Os 0.0000 0.3334 0.3334  10 Os 2.67-2.72, 2 Rh 2.67
Os 0.0000 0.6666 0.0000  10 Os 2.67-2.72, 2 Rh 2.67
Os 0.0000 0.0000 0.6666  10 Os 2.67-2.72, 2 Rh 2.67
Os 0.5000 0.3333 0.6667  9 Os 2.67-2.72, 3 Rh 2.72
Os 0.5000 0.6667 0.3333  9 Os 2.67-2.72, 3 Rh 2.72
Rh 0.5000 0.0000 0.0000  12 Os 2.67-2.72

Calculated values
- energy relative to the elements (eV per atom) = 0.011
- space-group type = P-62m (189)
- relative energy among the computed polymorphs (meV per atom) = 0
- spin magnetization (μB/cell) = 0.0



A plane-wave DFT calculation with SCAN was carried out for OsRh5 at its PBEsol-relaxed geometry.

a = 4.3257 Å, b = 4.6569 Å, c = 4.6569 Å
α = 120.00°, β = 90.00°, γ = 90.00°
Last column: nearest neighbours and their distance in Å.
Element x y z (fractional)
Os 0.5000 0.0000 0.0000  12 Rh 2.65-2.69
Rh 0.0000 0.6705 0.0000  2 Os 2.65, 10 Rh 2.66-2.70
Rh 0.0000 0.0000 0.6705  2 Os 2.65, 10 Rh 2.66-2.70
Rh 0.0000 0.3295 0.3295  2 Os 2.65, 10 Rh 2.66-2.70
Rh 0.5000 0.3333 0.6667  9 Rh 2.67-2.69, 3 Os 2.69
Rh 0.5000 0.6667 0.3333  9 Rh 2.67-2.69, 3 Os 2.69

Calculated values
- energy relative to the elements (eV per atom) = 0.038
- space-group type = P-62m (189)
- relative energy among the computed polymorphs (meV per atom) = 0
- spin magnetization (μB/cell) = 0.0



A plane-wave DFT calculation with SCAN was carried out for OsRh at its PBEsol-relaxed geometry.

a = 2.7055 Å, b = 5.0781 Å, c = 6.3935 Å
α = 103.51°, β = 90.00°, γ = 105.45°
Last column: nearest neighbours and their distance in Å.
Element x y z (fractional)
Os 0.9955 0.9911 0.9972  6 Rh 2.62-2.75, 6 Os 2.64-2.71
Os 0.3912 0.7823 0.2783  5 Os 2.64-2.71, 7 Rh 2.65-2.71
Os 0.3357 0.6714 0.6700  7 Rh 2.63-2.72, 5 Os 2.66-2.71
Rh 0.6693 0.3385 0.3333  5 Rh 2.64-2.71, 7 Os 2.65-2.75
Rh 0.0526 0.1053 0.6073  6 Os 2.63-2.70, 6 Rh 2.68-2.75
Rh 0.7224 0.4447 0.9473  7 Os 2.62-2.71, 5 Rh 2.64-2.75

Calculated values
- energy relative to the elements (eV per atom) = 0.040
- space-group type = Cm (8)
- spin magnetization (μB/cell) = 0.0



A plane-wave DFT calculation with SCAN was carried out for OsRh4 at its PBEsol-relaxed geometry.

a = 3.7776 Å, b = 4.6353 Å, c = 4.6353 Å
α = 80.44°, β = 65.95°, γ = 65.95°
Last column: nearest neighbours and their distance in Å.
Element x y z (fractional)
Os 0.0000 0.0000 0.0000  12 Rh 2.67
Rh 0.3968 0.4005 0.8060  9 Rh 2.64-2.72, 3 Os 2.67
Rh 0.6032 0.5995 0.1940  9 Rh 2.64-2.72, 3 Os 2.67
Rh 0.7972 0.8060 0.5995  9 Rh 2.64-2.72, 3 Os 2.67
Rh 0.2028 0.1940 0.4005  9 Rh 2.64-2.72, 3 Os 2.67

Calculated values
- energy relative to the elements (eV per atom) = 0.034
- space-group type = I4/m (87)
- spin magnetization (μB/cell) = 0.0



A plane-wave DFT calculation with SCAN was carried out for Os2Rh at its PBEsol-relaxed geometry.

a = 2.6929 Å, b = 2.6929 Å, c = 6.6027 Å
α = 90.00°, β = 90.00°, γ = 120.00°
Last column: nearest neighbours and their distance in Å.
Element x y z (fractional)
Os 0.6667 0.3333 0.3376  9 Os 2.65-2.69, 3 Rh 2.72
Os 0.3333 0.6667 0.6624  9 Os 2.65-2.69, 3 Rh 2.72
Rh 0.0000 0.0000 0.0000  6 Rh 2.69, 6 Os 2.72

Calculated values
- energy relative to the elements (eV per atom) = 0.088
- space-group type = P-3m1 (164)
- relative energy among the computed polymorphs (meV per atom) = 66
- spin magnetization (μB/cell) = 0.0



A plane-wave DFT calculation with SCAN was carried out for OsRh7 at its PBEsol-relaxed geometry.

a = 5.3457 Å, b = 5.3457 Å, c = 5.3457 Å
α = 60.00°, β = 60.00°, γ = 60.00°
Last column: nearest neighbours and their distance in Å.
Element x y z (fractional)
Os 0.0000 0.0000 0.0000  12 Rh 2.67
Rh 0.5000 0.0000 0.0000  10 Rh 2.67, 2 Os 2.67
Rh 0.5000 0.5000 0.0000  2 Os 2.67, 10 Rh 2.67
Rh 0.0000 0.5000 0.0000  10 Rh 2.67, 2 Os 2.67
Rh 0.5000 0.0000 0.5000  10 Rh 2.67, 2 Os 2.67
Rh 0.0000 0.0000 0.5000  10 Rh 2.67, 2 Os 2.67
Rh 0.0000 0.5000 0.5000  10 Rh 2.67, 2 Os 2.67
Rh 0.5000 0.5000 0.5000  12 Rh 2.67

Calculated values
- energy relative to the elements (eV per atom) = 0.037
- space-group type = Fm-3m (225)
- spin magnetization (μB/cell) = 0.0



A plane-wave DFT calculation with SCAN was carried out for OsRh at its PBEsol-relaxed geometry.

a = 2.7115 Å, b = 2.7115 Å, c = 8.6394 Å
α = 90.00°, β = 90.00°, γ = 120.00°
Last column: nearest neighbours and their distance in Å.
Element x y z (fractional)
Rh 0.6667 0.3333 0.6297  3 Os 2.66, 9 Rh 2.71-2.73
Rh 0.3333 0.6667 0.3703  3 Os 2.66, 9 Rh 2.71-2.73
Os 0.6667 0.3333 0.1218  9 Os 2.62-2.71, 3 Rh 2.66
Os 0.3333 0.6667 0.8782  9 Os 2.62-2.71, 3 Rh 2.66

Calculated values
- energy relative to the elements (eV per atom) = 0.002
- space-group type = P-3m1 (164)
- spin magnetization (μB/cell) = 0.0



A plane-wave DFT calculation with SCAN was carried out for OsRh at its PBEsol-relaxed geometry.

a = 2.7002 Å, b = 4.6968 Å, c = 5.0761 Å
α = 116.95°, β = 105.42°, γ = 90.00°
Last column: nearest neighbours and their distance in Å.
Element x y z (fractional)
Rh 0.8783 0.7087 0.7565  7 Os 2.65-2.73, 5 Rh 2.65-2.71
Rh 0.1217 0.2913 0.2435  7 Os 2.65-2.73, 5 Rh 2.65-2.71
Os 0.3723 0.2074 0.7445  5 Os 2.64-2.71, 7 Rh 2.65-2.73
Os 0.6277 0.7926 0.2555  5 Os 2.64-2.71, 7 Rh 2.65-2.73

Calculated values
- energy relative to the elements (eV per atom) = 0.068
- space-group type = C2/m (12)
- spin magnetization (μB/cell) = 0.0



A plane-wave DFT calculation with SCAN was carried out for Os2Rh at its PBEsol-relaxed geometry.

a = 2.6879 Å, b = 3.8093 Å, c = 4.6624 Å
α = 114.11°, β = 106.75°, γ = 90.00°
Last column: nearest neighbours and their distance in Å.
Element x y z (fractional)
Os 0.6701 0.6701 0.3402  5 Rh 2.66-2.71, 7 Os 2.66-2.75
Os 0.3299 0.3299 0.6598  5 Rh 2.66-2.71, 7 Os 2.66-2.75
Rh 0.0000 0.0000 0.0000  10 Os 2.66-2.71, 2 Rh 2.69

Calculated values
- energy relative to the elements (eV per atom) = 0.094
- space-group type = Immm (71)
- relative energy among the computed polymorphs (meV per atom) = 72
- spin magnetization (μB/cell) = 0.0



A plane-wave DFT calculation with SCAN was carried out for Os4Rh5 at its PBEsol-relaxed geometry.

a = 3.7950 Å, b = 6.0058 Å, c = 6.0058 Å
α = 84.27°, β = 71.58°, γ = 71.58°
Last column: nearest neighbours and their distance in Å.
Element x y z (fractional)
Os 0.6613 0.3387 0.3387  5 Os 2.60-2.64, 7 Rh 2.67-2.73
Os 0.3387 0.6613 0.6613  5 Os 2.60-2.64, 7 Rh 2.67-2.73
Os 0.0000 0.3387 0.6613  5 Os 2.60-2.64, 7 Rh 2.67-2.73
Os 0.0000 0.6613 0.3387  5 Os 2.60-2.64, 7 Rh 2.67-2.73
Rh 0.0000 0.0000 0.0000  8 Rh 2.70, 4 Os 2.73
Rh 0.6684 0.6631 0.0000  6 Rh 2.66-2.71, 6 Os 2.67-2.71
Rh 0.3316 0.0000 0.3369  6 Rh 2.66-2.71, 6 Os 2.67-2.71
Rh 0.6684 0.0000 0.6631  6 Rh 2.66-2.71, 6 Os 2.67-2.71
Rh 0.3316 0.3369 0.0000  6 Rh 2.66-2.71, 6 Os 2.67-2.71

Calculated values
- energy relative to the elements (eV per atom) = 0.042
- space-group type = I4/mmm (139)
- spin magnetization (μB/cell) = 0.0



A plane-wave DFT calculation with SCAN was carried out for OsRu2Rh at its PBEsol-relaxed geometry.

a = 2.6690 Å, b = 4.6349 Å, c = 4.6321 Å
α = 99.54°, β = 106.74°, γ = 90.00°
Last column: nearest neighbours and their distance in Å.
Element x y z (fractional)
Rh 0.2493 0.7498 0.4986  7 Ru 2.66-2.70, 2 Rh 2.67, 3 Os 2.68
Os 0.4987 0.4965 0.9974  7 Ru 2.65-2.70, 2 Os 2.67, 3 Rh 2.68
Ru 0.0019 0.0039 0.0038  4 Os 2.65-2.70, 5 Ru 2.66-2.68, 3 Rh 2.66-2.70
Ru 0.7501 0.2497 0.5001  5 Ru 2.66-2.68, 3 Os 2.66-2.68, 4 Rh 2.67-2.68

Calculated values
- energy relative to the elements (eV per atom) = 0.089
- space-group type = Cm (8)
- relative energy among the computed polymorphs (meV per atom) = 12
- spin magnetization (μB/cell) = 0.0



A plane-wave DFT calculation with SCAN was carried out for OsRu2Rh at its PBEsol-relaxed geometry.

a = 2.6696 Å, b = 3.7841 Å, c = 5.3506 Å
α = 90.00°, β = 90.00°, γ = 90.00°
Last column: nearest neighbours and their distance in Å.
Element x y z (fractional)
Rh 0.5000 0.5000 0.5000  2 Rh 2.67, 2 Os 2.68, 8 Ru 2.68
Os 0.5000 0.5000 0.0000  8 Ru 2.67, 2 Os 2.67, 2 Rh 2.68
Ru 0.0000 0.0000 0.7531  4 Ru 2.64-2.71, 4 Os 2.67, 4 Rh 2.68
Ru 0.0000 0.0000 0.2469  4 Ru 2.64-2.71, 4 Os 2.67, 4 Rh 2.68

Calculated values
- energy relative to the elements (eV per atom) = 0.079
- space-group type = Pmmm (47)
- relative energy among the computed polymorphs (meV per atom) = 1
- spin magnetization (μB/cell) = 0.0



A plane-wave DFT calculation with SCAN was carried out for OsRu2Rh at its PBEsol-relaxed geometry.

a = 2.6628 Å, b = 2.6628 Å, c = 7.6175 Å
α = 90.00°, β = 90.00°, γ = 90.00°
Last column: nearest neighbours and their distance in Å.
Element x y z (fractional)
Rh 0.5000 0.5000 0.7508  4 Rh 2.66, 4 Ru 2.69, 4 Os 2.69
Os 0.0000 0.0000 0.4979  4 Os 2.66, 4 Ru 2.67, 4 Rh 2.69
Ru 0.0000 0.0000 0.0023  8 Ru 2.66, 4 Rh 2.69
Ru 0.5000 0.5000 0.2490  8 Ru 2.66, 4 Os 2.67

Calculated values
- energy relative to the elements (eV per atom) = 0.096
- space-group type = P4mm (99)
- relative energy among the computed polymorphs (meV per atom) = 18
- spin magnetization (μB/cell) = 0.0